one.
DFT (PBE) results for a relaxed AlRh4 crystal.

Summary:
For the volume, the calculation gives 70 Å³/f.u. The density of states at the Fermi level comes out at 1.130 states/eV/atom. Its symmetry is I4/m (87). The value obtained for the total magnetization is 0.000 μB per atom.

Cell lengths 4.689, 4.689, 4.689 Å; angles 99.73, 99.73, 131.44 degrees
Fractional coordinates of all 5 atoms:
Al  0.000  0.000  0.000
Rh  0.198  0.397  0.596
Rh  0.397  0.802  0.199
Rh  0.603  0.198  0.801
Rh  0.802  0.603  0.404

two.
DFT (PBE) results for a relaxed AlRh4 crystal.

Summary:
For the volume, the calculation gives 80 Å³/f.u. The density of states at the Fermi level comes out at 1.386 states/eV/atom. Its symmetry is I4/mmm (139). The value obtained for the total magnetization is 0.001 μB per atom.

Cell lengths 6.885, 6.885, 6.885 Å; angles 150.31, 150.31, 42.48 degrees
Fractional coordinates of all 5 atoms:
Al  0.000  0.000  0.000
Rh  0.250  0.750  0.500
Rh  0.403  0.403  0.000
Rh  0.597  0.597  0.000
Rh  0.750  0.250  0.500

Referenced to the most stable arrangement, the calculated values in kJ/mol of atoms are one 0.0; two 48.6.

one.
DFT (PBE) results for a relaxed Al4Rh crystal.

Summary:
For the volume, the calculation gives 82 Å³/f.u. The density of states at the Fermi level comes out at 0.247 states/eV/atom. Its symmetry is C2/c (15). The value obtained for the total magnetization is 0.000 μB per atom.

Cell lengths 8.704, 8.704, 8.867 Å; angles 119.51, 119.51, 87.78 degrees
Fractional coordinates of all 30 atoms:
Al  0.000  0.500  0.500
Al  0.021  0.454  0.846
Al  0.062  0.866  0.048
Al  0.129  0.871  0.750
Al  0.134  0.938  0.452
Al  0.233  0.305  0.400
Al  0.295  0.656  0.903
Al  0.305  0.233  0.900
Al  0.344  0.705  0.597
Al  0.353  0.462  0.276
Al  0.454  0.021  0.346
Al  0.462  0.353  0.776
Al  0.500  0.000  0.000
Al  0.538  0.647  0.224
Al  0.546  0.979  0.654
Al  0.647  0.538  0.724
Al  0.656  0.295  0.403
Al  0.695  0.767  0.100
Al  0.705  0.344  0.097
Al  0.767  0.695  0.600
Al  0.866  0.062  0.548
Al  0.871  0.129  0.250
Al  0.938  0.134  0.952
Al  0.979  0.546  0.154
Rh  0.129  0.280  0.609
Rh  0.269  0.731  0.250
Rh  0.280  0.129  0.109
Rh  0.720  0.871  0.891
Rh  0.731  0.269  0.750
Rh  0.871  0.720  0.391

two.
DFT (PBE) results for a relaxed Al4Rh crystal.

Summary:
For the volume, the calculation gives 75 Å³/f.u. The density of states at the Fermi level comes out at 0.406 states/eV/atom. Its symmetry is I4/m (87). The value obtained for the total magnetization is 0.000 μB per atom.

Cell lengths 4.804, 4.804, 4.804 Å; angles 99.33, 99.33, 132.50 degrees
Fractional coordinates of all 5 atoms:
Al  0.106  0.701  0.806
Al  0.299  0.106  0.405
Al  0.701  0.894  0.595
Al  0.894  0.299  0.194
Rh  0.500  0.500  0.000

Referenced to the most stable arrangement, the calculated values in kJ/mol of atoms are one 0.0; two 6.9.

one.
DFT (PBE) results for a relaxed AlRuRh crystal.

Summary:
For the volume, the calculation gives 42 Å³/f.u. The density of states at the Fermi level comes out at 1.337 states/eV/atom. Its symmetry is I4mm (107). The value obtained for the total magnetization is 0.000 μB per atom.

Cell lengths 5.360, 5.360, 5.360 Å; angles 148.66, 148.66, 44.91 degrees
Fractional coordinates of all 3 atoms:
Al  0.000  0.000  0.000
Ru  0.343  0.343  0.000
Rh  0.656  0.656  0.000

two.
DFT (PBE) results for a relaxed AlRuRh crystal.

Summary:
For the volume, the calculation gives 50 Å³/f.u. The density of states at the Fermi level comes out at 1.142 states/eV/atom. Its symmetry is F-43m (216). The value obtained for the total magnetization is 0.000 μB per atom.

Cell lengths 4.134, 4.134, 4.134 Å; angles 60.00, 60.00, 60.00 degrees
Fractional coordinates of all 3 atoms:
Al  0.000  0.000  0.000
Ru  0.500  0.500  0.500
Rh  0.250  0.250  0.250

Referenced to the most stable arrangement, the calculated values in kJ/mol of atoms are one 0.0; two 39.4.